First-principles (PBE-GGA) data for a geometry-optimized NaScNiS3 structure, as listed in OQMD.

Results
DFT total energy = -5.46 eV/atom
SG = P2_1/m, No. 11
total magnetic moment = 1.2 μB/f.u.

Cell: 7.806 3.707 8.879 Å, 90.00 106.19 90.00°
Site moments in Bohr magnetons follow the coordinates.
Positions (direct):
1 S 0.898 0.750 0.145  0.09
2 S 0.557 0.250 0.844  0.02
3 Sc 0.669 0.250 0.144  0.01
4 Ni 0.083 0.250 0.596  0.73
5 S 0.443 0.750 0.156  0.02
6 Na 0.809 0.750 0.792  0.00
7 Ni 0.917 0.750 0.404  0.73
8 S 0.794 0.250 0.462  0.17
9 S 0.206 0.750 0.538  0.17
10 Na 0.191 0.250 0.208  0.00
11 S 0.102 0.250 0.855  0.09
12 Sc 0.331 0.750 0.856  0.01